Entry 1:
DyTlBi PBE relaxed; symmetry = No. 139; raw total energy = -3.89 eV/atom; formation energy from the elements = -79 kJ/mol of formula units
1.0
4.8276 0.0000 0.0000
0.0000 4.8276 0.0000
-2.4138 -2.4138 7.7645
Dy Bi Tl
2 2 2
Direct
0.8594 0.8594 0.7189
0.1406 0.1406 0.2811
0.0000 0.5000 0.0000
0.5000 0.0000 0.0000
0.6620 0.6620 0.3241
0.3380 0.3380 0.6759



Entry 2:
Dy2TlBi PBE relaxed; symmetry = No. 160; raw total energy = -4.28 eV/atom; formation energy from the elements = -159 kJ/mol of formula units
1.0
-2.7297 1.4228 -2.8281
-2.8061 -2.5982 -1.6880
-7.2336 1.4475 4.6210
Dy Bi Tl
2 1 1
Direct
0.0779 0.0779 0.7663
0.2551 0.2551 0.2348
0.6677 0.6677 0.9970
0.4994 0.4994 0.5019



Entry 3:
Dy5Tl2Bi2 PBE relaxed; symmetry = No. 64; raw total energy = -4.53 eV/atom; formation energy from the elements = -505 kJ/mol of formula units
1.0
8.2260 0.0000 0.0000
0.0000 8.2254 0.0000
0.0000 -4.1127 7.9004
Tl Dy Bi
4 10 4
Direct
0.8671 0.3662 0.0000
0.6329 0.8662 0.0000
0.1329 0.6338 0.0000
0.3671 0.1338 0.0000
0.5000 0.5000 0.0000
0.0000 0.0000 0.0000
0.8344 0.8015 0.2673
0.1656 0.1985 0.7327
0.6656 0.0343 0.7327
0.8344 0.5343 0.7327
0.6656 0.3015 0.2673
0.3344 0.9657 0.2673
0.1656 0.4657 0.2673
0.3344 0.6985 0.7327
0.0000 0.7950 0.5899
0.0000 0.2050 0.4101
0.5000 0.7050 0.4101
0.5000 0.2950 0.5899



Entry 4:
DyTlBi PBE relaxed; symmetry = No. 156; raw total energy = -3.83 eV/atom; formation energy from the elements = -63 kJ/mol of formula units
1.0
3.4835 0.0000 0.0000
0.0000 5.4380 0.0000
0.0000 -2.7190 4.7095
Tl Dy Bi
1 1 1
Direct
0.2708 0.6667 0.3333
0.6543 0.3333 0.6667
0.0749 0.0000 0.0000



Entry 5:
Dy2TlBi PBE relaxed; symmetry = No. 166; raw total energy = -4.35 eV/atom; formation energy from the elements = -187 kJ/mol of formula units
1.0
-2.4171 -0.6788 -3.4028
0.1477 -3.7291 -1.9886
-6.6537 -4.2306 2.9428
Dy Bi Tl
2 1 1
Direct
0.7541 0.7541 0.7376
0.2459 0.2459 0.2624
0.5000 0.5000 0.5000
0.0000 0.0000 0.0000



Entry 6:
Dy8TlBi2 PBE relaxed; symmetry = No. 12; raw total energy = -4.57 eV/atom; formation energy from the elements = -319 kJ/mol of formula units
1.0
5.2007 0.0000 0.0000
0.0000 6.8528 1.2933
-2.6003 -1.2907 9.0865
Dy Tl Bi
8 1 2
Direct
0.7862 0.6192 0.5725
0.3361 0.9117 0.6723
0.4084 0.4409 0.8168
0.5916 0.5591 0.1832
0.9697 0.7480 0.9393
0.2138 0.3808 0.4275
0.6639 0.0883 0.3277
0.0303 0.2520 0.0607
0.5000 0.0000 0.0000
0.1619 0.8262 0.3239
0.8381 0.1738 0.6761